A plane-wave DFT calculation with PBE was carried out for Ni2Bi6Rh after structural relaxation.

Lattice parameters (Å, degrees): 6.7522 6.5740 11.7500 90.00 121.39 90.00
Last column: nearest neighbours and their distance in Å.
Space group P2_1/c (No. 14)
One atom of each set of equivalent atoms:
Ni: 0.1749 0.1724 0.1943 (multiplicity 4)  6 Bi 2.68-2.89, 1 Rh 2.90
Bi: 0.1410 0.1334 0.9401 (multiplicity 4)  2 Ni 2.75-2.89, 1 Rh 2.81
Bi: 0.2465 0.6187 0.8837 (multiplicity 4)  1 Rh 2.76, 2 Ni 2.78-2.85
Bi: 0.4025 0.5272 0.2477 (multiplicity 4)  2 Ni 2.68-2.74, 1 Rh 2.77
Rh: 0.0000 0.0000 0.5000 (multiplicity 2)  6 Bi 2.76-2.81, 2 Ni 2.90

Properties
magnetic moment = 0.0 μB per formula unit
formation energy = 0.019 eV per atom

---

A plane-wave DFT calculation with PBE was carried out for Pm8Os3Pd2 after structural relaxation.

Lattice parameters (Å, degrees): 9.9175 14.2237 4.9588 90.00 90.00 90.00
Last column: nearest neighbours and their distance in Å.
Space group Cmmm (No. 65)
One atom of each set of equivalent atoms:
Pm: 0.0000 0.1168 0.0000 (multiplicity 4)  2 Os 2.98, 2 Pd 3.11, 1 Pm 3.32
Pm: 0.0000 0.3792 0.0000 (multiplicity 4)  4 Os 3.02, 2 Pd 3.09
Pm: 0.2488 0.3821 0.5000 (multiplicity 8)  3 Os 2.98-2.99, 2 Pd 3.11
Os: 0.0000 0.5000 0.5000 (multiplicity 2)  8 Pm 2.98-3.02
Os: 0.2499 0.0000 0.0000 (multiplicity 4)  8 Pm 2.98-3.02
Pd: 0.0000 0.2491 0.5000 (multiplicity 4)  8 Pm 3.09-3.11

Properties
magnetic moment = 0.0 μB per formula unit
formation energy = -0.278 eV per atom

---

A plane-wave DFT calculation with PBE was carried out for BaLi3Pb after structural relaxation.

Lattice parameters (Å, degrees): 5.5874 5.5874 5.5874 90.00 90.00 90.00
Last column: nearest neighbours and their distance in Å.
Space group Pm-3m (No. 221)
One atom of each set of equivalent atoms:
Ba: 0.0000 0.0000 0.0000 (multiplicity 1)  6 Li 2.79
Li: 0.0000 0.0000 0.5000 (multiplicity 3)  2 Ba 2.79
Pb: 0.5000 0.5000 0.5000 (multiplicity 1)  12 Li 3.95

Properties
magnetic moment = 0.0 μB per formula unit
formation energy = 0.824 eV per atom

---

A plane-wave DFT calculation with PBE was carried out for YErBeCo after structural relaxation.

Lattice parameters (Å, degrees): 6.7142 6.7142 6.7142 90.00 90.00 90.00
Last column: nearest neighbours and their distance in Å.
Space group F-43m (No. 216)
One atom of each set of equivalent atoms:
Y: 0.0000 0.0000 0.0000 (multiplicity 4)  4 Be 2.91, 4 Co 2.91
Er: 0.0000 0.0000 0.5000 (multiplicity 4)  4 Co 2.91, 4 Be 2.91
Be: 0.2500 0.2500 0.7500 (multiplicity 4)  4 Er 2.91, 4 Y 2.91
Co: 0.2500 0.2500 0.2500 (multiplicity 4)  4 Er 2.91, 4 Y 2.91

Properties
magnetic moment = 0.0 μB per formula unit
formation energy = -0.043 eV per atom

---

A plane-wave DFT calculation with PBE was carried out for TbPmNd2Tm4 after structural relaxation.

Lattice parameters (Å, degrees): 7.1752 7.1812 9.9342 90.00 90.05 90.04
Last column: nearest neighbours and their distance in Å.
Space group P-1 (No. 2)
One atom of each set of equivalent atoms:
Tb: 0.0000 0.0000 0.0000 (multiplicity 1)  8 Tm 3.53, 2 Tb 3.59, 2 Pm 3.59
Tb: 0.5000 0.0000 0.0000 (multiplicity 1)  8 Tm 3.53, 2 Tb 3.59, 2 Nd 3.59
Pm: 0.0000 0.0000 0.5000 (multiplicity 1)  8 Tm 3.55-3.56, 4 Nd 3.59
Pm: 0.0000 0.5000 0.0000 (multiplicity 1)  8 Tm 3.54, 2 Nd 3.59, 2 Tb 3.59
Nd: 0.0000 0.5000 0.5000 (multiplicity 1)  8 Tm 3.57, 2 Nd 3.59, 2 Pm 3.59
Nd: 0.5000 0.0000 0.5000 (multiplicity 1)  8 Tm 3.56, 2 Pm 3.59, 2 Nd 3.59
Nd: 0.5000 0.5000 0.0000 (multiplicity 1)  8 Tm 3.54-3.55, 2 Pm 3.59, 2 Tb 3.59
Nd: 0.5000 0.5000 0.5000 (multiplicity 1)  8 Tm 3.57, 4 Nd 3.59
Tm: 0.2495 0.2481 0.2479 (multiplicity 2)  2 Tb 3.53, 2 Pm 3.54-3.56, 4 Nd 3.55-3.57, 4 Tm 3.56-3.62
Tm: 0.2494 0.2481 0.7520 (multiplicity 2)  2 Tb 3.53, 2 Pm 3.54-3.55, 4 Nd 3.54-3.57, 4 Tm 3.56-3.62
Tm: 0.2497 0.7518 0.2480 (multiplicity 2)  2 Tb 3.53, 2 Pm 3.54-3.56, 4 Nd 3.55-3.57, 4 Tm 3.56-3.62
Tm: 0.2497 0.7517 0.7521 (multiplicity 2)  2 Tb 3.53, 2 Pm 3.54-3.56, 4 Nd 3.54-3.57, 4 Tm 3.56-3.62

Properties
magnetic moment = 0.0 μB per formula unit
formation energy = 0.018 eV per atom

---

A plane-wave DFT calculation with PBE was carried out for Ca2AsPdCl after structural relaxation.

Lattice parameters (Å, degrees): 5.6651 5.6651 4.5609 90.00 90.00 90.00
Last column: nearest neighbours and their distance in Å.
Space group P4/mmm (No. 123)
One atom of each set of equivalent atoms:
Ca: 0.0000 0.5000 0.0000 (multiplicity 2)  2 Pd 2.83
As: 0.0000 0.0000 0.5000 (multiplicity 1)  2 Pd 2.28
Pd: 0.0000 0.0000 0.0000 (multiplicity 1)  2 As 2.28
Cl: 0.5000 0.5000 0.5000 (multiplicity 1)  8 Ca 3.64, 4 As 4.01

Properties
magnetic moment = 0.0 μB per formula unit
formation energy from raw total energies = -0.897 eV per atom

---

A plane-wave DFT calculation with PBE was carried out for Rb2CaTe2 after structural relaxation.

Lattice parameters (Å, degrees): 4.7373 4.7373 17.7121 90.00 90.00 90.00
Last column: nearest neighbours and their distance in Å.
Space group I4/mmm (No. 139)
One atom of each set of equivalent atoms:
Rb: 0.0000 0.5000 0.2500 (multiplicity 4)  4 Rb 3.35, 4 Te 3.52
Ca: 0.0000 0.0000 0.0000 (multiplicity 2)  8 Te 3.81
Te: 0.0000 0.0000 0.3971 (multiplicity 4)  4 Rb 3.52, 1 Te 3.64, 4 Ca 3.81

Properties
magnetic moment = 0.0 μB per formula unit
formation energy from raw total energies = -0.692 eV per atom

---

A plane-wave DFT calculation with PBE was carried out for TbDy2Rh3 after structural relaxation.

Lattice parameters (Å, degrees): 14.5348 5.5377 6.4059 90.00 103.71 90.00
Last column: nearest neighbours and their distance in Å.
Space group C2/c (No. 15)
One atom of each set of equivalent atoms:
Tb: 0.0000 0.1504 0.2500 (multiplicity 4)  6 Rh 2.74-2.95
Dy: 0.1730 0.4561 0.0570 (multiplicity 8)  5 Rh 2.80-3.00
Rh: 0.0000 0.3552 0.7500 (multiplicity 4)  2 Tb 2.74-2.80, 2 Dy 2.86
Rh: 0.1577 0.0455 0.6235 (multiplicity 8)  4 Dy 2.80-3.00, 2 Tb 2.82-2.95, 1 Rh 3.12

Properties
magnetic moment = 0.0 μB per formula unit
formation energy = -0.673 eV per atom

---

A plane-wave DFT calculation with PBE was carried out for BaCdPt2 after structural relaxation.

Lattice parameters (Å, degrees): 5.1166 5.1166 18.4872 90.00 90.00 90.00
Last column: nearest neighbours and their distance in Å.
Space group I-42d (No. 122)
One atom of each set of equivalent atoms:
Ba: 0.0000 0.0000 0.0000 (multiplicity 4)  8 Pt 3.51-3.85, 4 Cd 3.62
Cd: 0.0000 0.0000 0.5000 (multiplicity 4)  4 Pt 2.65
Pt: 0.0478 0.2500 0.6250 (multiplicity 8)  2 Pt 2.60, 2 Cd 2.65

Properties
magnetic moment = 0.0 μB per formula unit
formation energy = -0.390 eV per atom

---

A plane-wave DFT calculation with PBE was carried out for LiSnBiS4 after structural relaxation.

Lattice parameters (Å, degrees): 7.7205 8.0345 11.1442 90.00 90.00 90.00
Last column: nearest neighbours and their distance in Å.
Space group Imma (No. 74)
One atom of each set of equivalent atoms:
Li: 0.0000 0.2500 0.1170 (multiplicity 4)  4 S 2.44-2.64
Sn: 0.2500 0.2500 0.7500 (multiplicity 4)  6 S 2.56-2.64
Bi: 0.0000 0.0000 0.5000 (multiplicity 4)  6 S 2.81-2.83
S: 0.0000 0.0255 0.7535 (multiplicity 8)  2 Sn 2.64, 1 Li 2.64, 1 Bi 2.83
S: 0.2471 0.2500 0.9801 (multiplicity 8)  1 Li 2.44, 1 Sn 2.56

Properties
magnetic moment = 0.0 μB per formula unit
formation energy from raw total energies = -0.583 eV per atom

---

A plane-wave DFT calculation with PBE was carried out for Na3TcAu after structural relaxation.

Lattice parameters (Å, degrees): 5.7450 5.7450 5.7450 90.00 90.00 90.00
Last column: nearest neighbours and their distance in Å.
Space group Pm-3m (No. 221)
One atom of each set of equivalent atoms:
Na: 0.0000 0.0000 0.5000 (multiplicity 3)  2 Tc 2.87
Tc: 0.0000 0.0000 0.0000 (multiplicity 1)  6 Na 2.87
Au: 0.5000 0.5000 0.5000 (multiplicity 1)  12 Na 4.06

Properties
magnetic moment = 3.1 μB per formula unit
formation energy = 1.197 eV per atom

---

A plane-wave DFT calculation with PBE was carried out for NaEuHfNbO6 after structural relaxation.

Lattice parameters (Å, degrees): 8.1483 8.1483 8.1483 90.00 90.00 90.00
Last column: nearest neighbours and their distance in Å.
Space group F-43m (No. 216)
One atom of each set of equivalent atoms:
Na: 0.0000 0.0000 0.0000 (multiplicity 4)  12 O 2.88
Eu: 0.0000 0.0000 0.5000 (multiplicity 4)  12 O 2.88
Hf: 0.2500 0.2500 0.2500 (multiplicity 4)  6 O 2.07
Nb: 0.2500 0.2500 0.7500 (multiplicity 4)  6 O 2.01
O: 0.0035 0.2500 0.7500 (multiplicity 24)  1 Nb 2.01, 1 Hf 2.07

Properties
magnetic moment = 7.0 μB per formula unit
formation energy from raw total energies = -2.866 eV per atom

---

A plane-wave DFT calculation with PBE was carried out for PrTmCdAu after structural relaxation.

Lattice parameters (Å, degrees): 7.4393 7.4393 7.4393 90.00 90.00 90.00
Last column: nearest neighbours and their distance in Å.
Space group F-43m (No. 216)
One atom of each set of equivalent atoms:
Pr: 0.0000 0.0000 0.0000 (multiplicity 4)  4 Au 3.22, 4 Cd 3.22
Tm: 0.0000 0.0000 0.5000 (multiplicity 4)  4 Cd 3.22, 4 Au 3.22
Cd: 0.2500 0.2500 0.7500 (multiplicity 4)  4 Pr 3.22, 4 Tm 3.22
Au: 0.2500 0.2500 0.2500 (multiplicity 4)  4 Tm 3.22, 4 Pr 3.22

Properties
magnetic moment = 0.0 μB per formula unit
formation energy = -0.519 eV per atom

---

A plane-wave DFT calculation with PBE was carried out for BeRe2 after structural relaxation.

Lattice parameters (Å, degrees): 5.1593 5.1593 8.1620 90.00 90.00 120.00
Last column: nearest neighbours and their distance in Å.
Space group P6_3/mmc (No. 194)
One atom of each set of equivalent atoms:
Be: 0.3333 0.6667 0.0900 (multiplicity 4)  1 Be 2.61, 6 Re 2.89
Re: 0.0000 0.0000 0.0000 (multiplicity 2)  6 Re 2.57
Re: 0.1746 0.3492 0.7500 (multiplicity 6)  6 Re 2.46-2.70

Properties
magnetic moment = 0.0 μB per formula unit
formation energy = 0.743 eV per atom

---

A plane-wave DFT calculation with PBE was carried out for Zr2MnW after structural relaxation.

Lattice parameters (Å, degrees): 3.0156 3.0156 8.1048 90.00 90.00 90.00
Last column: nearest neighbours and their distance in Å.
Space group P4mm (No. 99)
One atom of each set of equivalent atoms:
Zr: 0.0000 0.0000 0.0000 (multiplicity 1)  4 W 2.97, 4 Zr 3.02
Zr: 0.5000 0.5000 0.3500 (multiplicity 1)  4 Mn 2.83, 4 Zr 3.02
Mn: 0.0000 0.0000 0.5799 (multiplicity 1)  4 W 2.52
W: 0.5000 0.5000 0.7449 (multiplicity 1)  4 Mn 2.52

Properties
magnetic moment = 0.0 μB per formula unit
formation energy = 0.046 eV per atom